Entry 1:
A relaxed La6HoSe8 crystal. Source: the Alexandria database, functional GGA-PBE.

Properties
For the uncorrected formation energy, the calculation gives -1.99 eV/atom. The density of states at the Fermi level comes out at 0.57 states/eV/atom. For the total DFT energy (no corrections), the calculation gives -6.13 eV/atom.

Lattice parameters (Å, degrees): 12.1349 12.1349 12.1349 90.00 90.00 90.00
With the nearest neighbours (Å) after each atom.
Space group Fm-3m (No. 225)
Asymmetric unit:
La  0.0000  0.2500  0.2500 [24 per cell]  6 Se 3.03-3.04
Ho  0.0000  0.0000  0.0000 [4 per cell]  6 Se 2.91
Se  0.0000  0.0000  0.2401 [24 per cell]  1 Ho 2.91, 4 La 3.04
Se  0.2500  0.2500  0.2500 [8 per cell]  6 La 3.03

***

Entry 2:
A relaxed LaHoSe crystal. Source: the Alexandria database, functional GGA-PBE.

Properties
The polymorph energy (0 for the lowest one) comes out at 0 meV per atom. For the uncorrected formation energy, the calculation gives -1.10 eV/atom. The density of states at the Fermi level comes out at 1.01 states/eV/atom. For the total DFT energy (no corrections), the calculation gives -5.43 eV/atom.

Lattice parameters (Å, degrees): 3.9625 3.9625 6.7824 90.00 90.00 120.00
With the nearest neighbours (Å) after each atom.
Space group P3m1 (No. 156)
Asymmetric unit:
La  0.0000  0.0000  0.0000 [1 per cell]  3 Se 3.04
Ho  0.3333  0.6667  0.5544 [1 per cell]  3 Se 2.88
Se  0.6667  0.3333  0.2959 [1 per cell]  3 Ho 2.88, 3 La 3.04

***

Entry 3:
A relaxed LaHo2Se crystal. Source: the Alexandria database, functional GGA-PBE.

Properties
For the uncorrected formation energy, the calculation gives -0.60 eV/atom. The density of states at the Fermi level comes out at 1.34 states/eV/atom. For the total DFT energy (no corrections), the calculation gives -4.99 eV/atom.

Lattice parameters (Å, degrees): 3.7097 3.7097 31.5697 90.00 90.00 120.00
With the nearest neighbours (Å) after each atom.
Space group R-3m (No. 166, hexagonal axes)
Asymmetric unit:
La  0.0000  0.0000  0.0000 [3 per cell]  2 Ho 3.46, 6 La 3.71
Ho  0.0000  0.0000  0.1097 [6 per cell]  3 Se 2.80
Se  0.0000  0.0000  0.5000 [3 per cell]  6 Ho 2.80

***

Entry 4:
A relaxed LaHo2Se4 crystal. Source: the Alexandria database, functional GGA-PBE.

Properties
For the uncorrected formation energy, the calculation gives -1.92 eV/atom. The density of states at the Fermi level comes out at 0.30 states/eV/atom. For the total DFT energy (no corrections), the calculation gives -5.93 eV/atom.

Lattice parameters (Å, degrees): 4.0719 13.4332 13.8533 90.00 90.00 90.00
With the nearest neighbours (Å) after each atom.
Space group Cmcm (No. 63)
Asymmetric unit:
La  0.0000  0.1212  0.2500 [4 per cell]  6 Se 3.02-3.08
Ho  0.0000  0.3691  0.0658 [8 per cell]  6 Se 2.80-2.88
Se  0.0000  0.0000  0.0000 [4 per cell]  4 Ho 2.84
Se  0.0000  0.2720  0.6193 [8 per cell]  3 Ho 2.88, 2 La 3.08
Se  0.0000  0.4557  0.2500 [4 per cell]  2 Ho 2.80, 2 La 3.02

***

Entry 5:
A relaxed La3Ho4Se8 crystal. Source: the Alexandria database, functional GGA-PBE.

Properties
For the uncorrected formation energy, the calculation gives -1.88 eV/atom. The density of states at the Fermi level comes out at 0.49 states/eV/atom. For the total DFT energy (no corrections), the calculation gives -5.94 eV/atom.

Lattice parameters (Å, degrees): 11.7932 11.8040 8.2850 90.00 134.52 90.00
With the nearest neighbours (Å) after each atom.
Space group C2/m (No. 12)
Asymmetric unit:
La  0.0000  0.0000  0.0000 [2 per cell]  6 Se 3.03
La  0.2500  0.2500  0.0000 [4 per cell]  6 Se 2.95
Ho  0.0000  0.5000  0.0000 [2 per cell]  6 Se 2.87-2.88
Ho  0.0000  0.5000  0.5000 [2 per cell]  6 Se 2.89-2.92
Ho  0.2500  0.2500  0.5000 [4 per cell]  6 Se 2.95
Se  0.0000  0.2536  0.5000 [4 per cell]  3 Ho 2.91-2.95, 2 La 2.95
Se  0.0000  0.2567  0.0000 [4 per cell]  3 Ho 2.87-2.95, 3 La 2.95-3.03
Se  0.2381  0.5000  0.9900 [4 per cell]  2 Ho 2.87-2.89, 3 La 2.95-3.03
Se  0.2415  0.5000  0.4873 [4 per cell]  4 Ho 2.88-2.95, 1 La 3.03

***

Entry 6:
A relaxed LaHo3Se4 crystal. Source: the Alexandria database, functional GGA-PBE.

Properties
For the uncorrected formation energy, the calculation gives -1.78 eV/atom. The density of states at the Fermi level comes out at 0.63 states/eV/atom. For the total DFT energy (no corrections), the calculation gives -5.86 eV/atom.

Lattice parameters (Å, degrees): 8.3603 11.6642 4.0638 90.00 90.00 90.00
With the nearest neighbours (Å) after each atom.
Space group Cmmm (No. 65)
Asymmetric unit:
La  0.0000  0.0000  0.0000 [2 per cell]  6 Se 2.99-3.00
Ho  0.0000  0.5000  0.0000 [2 per cell]  6 Se 2.83-2.84
Ho  0.2500  0.2500  0.5000 [4 per cell]  6 Se 2.92
Se  0.0000  0.2566  0.0000 [4 per cell]  5 Ho 2.84-2.92, 1 La 2.99
Se  0.2362  0.5000  0.5000 [4 per cell]  4 Ho 2.83-2.92, 2 La 3.00

***

Entry 7:
A relaxed La4Ho3Se8 crystal. Source: the Alexandria database, functional GGA-PBE.

Properties
The polymorph energy (0 for the lowest one) comes out at 0 meV per atom. For the uncorrected formation energy, the calculation gives -1.89 eV/atom. The density of states at the Fermi level comes out at 0.53 states/eV/atom. For the total DFT energy (no corrections), the calculation gives -5.97 eV/atom.

Lattice parameters (Å, degrees): 11.8388 11.8513 8.3434 90.00 134.69 90.00
With the nearest neighbours (Å) after each atom.
Space group C2/m (No. 12)
Asymmetric unit:
La  0.0000  0.0000  0.0000 [2 per cell]  6 Se 3.04-3.05
La  0.0000  0.5000  0.5000 [2 per cell]  6 Se 3.04-3.05
La  0.2500  0.2500  0.0000 [4 per cell]  6 Se 2.96-2.97
Ho  0.0000  0.5000  0.0000 [2 per cell]  6 Se 2.88-2.89
Ho  0.2500  0.2500  0.5000 [4 per cell]  6 Se 2.96-2.97
Se  0.0000  0.2431  0.5000 [4 per cell]  2 Ho 2.96, 3 La 2.97-3.04
Se  0.0000  0.2566  0.0000 [4 per cell]  3 Ho 2.88-2.97, 3 La 2.96-3.04
Se  0.2494  0.0000  0.5132 [4 per cell]  3 Ho 2.89-2.97, 2 La 3.04-3.05
Se  0.2487  0.5000  0.0117 [4 per cell]  1 Ho 2.88, 4 La 2.96-3.05

***

Entry 8:
A relaxed La3HoSe6 crystal. Source: the Alexandria database, functional GGA-PBE.

Properties
The polymorph energy (0 for the lowest one) comes out at 0 meV per atom. For the uncorrected formation energy, the calculation gives -1.98 eV/atom. The density of states at the Fermi level comes out at 0.00 states/eV/atom. For the total DFT energy (no corrections), the calculation gives -6.00 eV/atom.

Lattice parameters (Å, degrees): 12.4549 12.4549 14.6626 90.00 90.00 120.00
With the nearest neighbours (Å) after each atom.
Space group R-3 (No. 148, hexagonal axes)
Asymmetric unit:
La  0.0500  0.2711  0.2007 [18 per cell]  6 Se 2.99-3.06
Ho  0.0000  0.0000  0.0000 [3 per cell]  6 Se 2.82
Ho  0.0000  0.0000  0.5000 [3 per cell]  6 Se 2.86
Se  0.0229  0.2074  0.3993 [18 per cell]  1 Ho 2.86, 3 La 2.99-3.06
Se  0.0320  0.1921  0.8812 [18 per cell]  1 Ho 2.82, 3 La 2.99-3.06

***

Entry 9:
A relaxed La3HoSe6 crystal. Source: the Alexandria database, functional GGA-PBE.

Properties
The polymorph energy (0 for the lowest one) comes out at 24 meV per atom. For the uncorrected formation energy, the calculation gives -1.95 eV/atom. The density of states at the Fermi level comes out at 0.00 states/eV/atom. For the total DFT energy (no corrections), the calculation gives -5.98 eV/atom.

Lattice parameters (Å, degrees): 7.1442 7.8479 12.7100 90.00 122.62 90.00
With the nearest neighbours (Å) after each atom.
Space group P2_1/c (No. 14)
Asymmetric unit:
La  0.0000  0.0000  0.0000 [2 per cell]  6 Se 2.94-3.00
La  0.2952  0.0982  0.7541 [4 per cell]  6 Se 3.02-3.24
Ho  0.5000  0.0000  0.5000 [2 per cell]  6 Se 2.79-2.88
Se  0.1038  0.0609  0.2589 [4 per cell]  1 Ho 2.88, 3 La 3.00-3.03
Se  0.2625  0.6808  0.0801 [4 per cell]  1 Ho 2.79, 2 La 2.96-3.03
Se  0.4090  0.1892  0.0770 [4 per cell]  1 Ho 2.83, 2 La 2.94-3.04

***

Entry 10:
A relaxed La5HoSe6 crystal. Source: the Alexandria database, functional GGA-PBE.

Properties
For the uncorrected formation energy, the calculation gives -1.95 eV/atom. The density of states at the Fermi level comes out at 0.55 states/eV/atom. For the total DFT energy (no corrections), the calculation gives -6.13 eV/atom.

Lattice parameters (Å, degrees): 7.3953 12.8334 7.3966 90.00 109.65 90.00
With the nearest neighbours (Å) after each atom.
Space group C2/m (No. 12)
Asymmetric unit:
La  0.0000  0.0000  0.0000 [2 per cell]  6 Se 3.02-3.11
La  0.0000  0.1662  0.5000 [4 per cell]  6 Se 3.02-3.04
La  0.0000  0.3287  0.0000 [4 per cell]  6 Se 3.03-3.09
Ho  0.0000  0.5000  0.5000 [2 per cell]  6 Se 2.91-2.93
Se  0.2389  0.5000  0.2540 [4 per cell]  1 Ho 2.93, 5 La 3.04-3.11
Se  0.2407  0.3392  0.7409 [8 per cell]  1 Ho 2.91, 5 La 3.02-3.09